Record 1
Below is a geometry-optimized Pr2USi3Ir12 structure, with properties calculated at the PBE level.

Results
ΔE_f (raw) ... 0.014 eV per atom
Spin magnetization ... 0.000 μB per formula unit
Density ... 13.91 g cm⁻³
SG ... R-3m, No. 166

Cell lengths 7.6565, 7.6565, 7.6565 Å; angles 64.32, 64.32, 64.32 degrees
Fractional positions:
Ir (0.8576, 0.8576, 0.3883)
Si (0.0000, 0.5000, 0.0000)
Ir (0.1424, 0.1424, 0.6117)
Ir (0.6471, 0.6471, 0.0980)
Pr (0.4004, 0.4004, 0.4004)
Pr (0.5996, 0.5996, 0.5996)
Ir (0.3529, 0.9020, 0.3529)
Si (0.0000, 0.0000, 0.5000)
Ir (0.6117, 0.1424, 0.1424)
Ir (0.3883, 0.8576, 0.8576)
Ir (0.6471, 0.0980, 0.6471)
Ir (0.1424, 0.6117, 0.1424)
Ir (0.8576, 0.3883, 0.8576)
Ir (0.9020, 0.3529, 0.3529)
Ir (0.3529, 0.3529, 0.9020)
U (0.0000, 0.0000, 0.0000)
Ir (0.0980, 0.6471, 0.6471)
Si (0.5000, 0.0000, 0.0000)

=====

Record 2
Below is a geometry-optimized PrYSiIr structure, with properties calculated at the PBE level.

Results
ΔE_f (raw) ... -0.781 eV per atom
Spin magnetization ... 0.000 μB per formula unit
Density ... 7.95 g cm⁻³
SG ... Amm2, No. 38

Cell lengths 4.2990, 3.9681, 5.9178 Å; angles 90.00, 111.30, 90.00 degrees
Fractional positions:
Pr (0.1484, 0.0000, 0.2969)
Si (0.5595, 0.5000, 0.1190)
Ir (0.4253, 0.0000, 0.8506)
Y (0.8667, 0.5000, 0.7335)

=====

Record 3
Below is a geometry-optimized Pr2ZnSi3Ir4 structure, with properties calculated at the PBE level.

Results
ΔE_f (raw) ... -0.900 eV per atom
Spin magnetization ... 0.000 μB per formula unit
Density ... 11.20 g cm⁻³
SG ... P-4m2, No. 115

Cell lengths 4.1988, 4.1988, 10.0970 Å; angles 90.00, 90.00, 90.00 degrees
Fractional positions:
Pr (0.0000, 0.5000, 0.7466)
Zn (0.5000, 0.5000, 0.5000)
Si (0.5000, 0.0000, 0.8734)
Ir (0.5000, 0.0000, 0.6352)
Pr (0.5000, 0.0000, 0.2534)
Si (0.0000, 0.5000, 0.1266)
Ir (0.0000, 0.0000, 0.0000)
Ir (0.0000, 0.5000, 0.3648)
Si (0.0000, 0.0000, 0.5000)
Ir (0.5000, 0.5000, 0.0000)

=====

Please write out number 1 again, unchanged.
Below is a geometry-optimized Pr2USi3Ir12 structure, with properties calculated at the PBE level.

Results
ΔE_f (raw) ... 0.014 eV per atom
Spin magnetization ... 0.000 μB per formula unit
Density ... 13.91 g cm⁻³
SG ... R-3m, No. 166

Cell lengths 7.6565, 7.6565, 7.6565 Å; angles 64.32, 64.32, 64.32 degrees
Fractional positions:
Ir (0.8576, 0.8576, 0.3883)
Si (0.0000, 0.5000, 0.0000)
Ir (0.1424, 0.1424, 0.6117)
Ir (0.6471, 0.6471, 0.0980)
Pr (0.4004, 0.4004, 0.4004)
Pr (0.5996, 0.5996, 0.5996)
Ir (0.3529, 0.9020, 0.3529)
Si (0.0000, 0.0000, 0.5000)
Ir (0.6117, 0.1424, 0.1424)
Ir (0.3883, 0.8576, 0.8576)
Ir (0.6471, 0.0980, 0.6471)
Ir (0.1424, 0.6117, 0.1424)
Ir (0.8576, 0.3883, 0.8576)
Ir (0.9020, 0.3529, 0.3529)
Ir (0.3529, 0.3529, 0.9020)
U (0.0000, 0.0000, 0.0000)
Ir (0.0980, 0.6471, 0.6471)
Si (0.5000, 0.0000, 0.0000)